# 1
The following is a PBE-GGA calculation of Hf2Ga2Cu3 after structural relaxation, from Alexandria via LeMat-Bulk.

abc: 2.9963 4.0494 9.5004
angles: 102.31 90.00 90.00
Closest atoms and distances in Å follow each position.
Fractional positions:
Hf 0.0000 0.1470 0.2941  5 Cu 2.73-2.94, 6 Ga 2.78-3.05, 2 Hf 3.00
Hf 0.0000 0.8530 0.7059  5 Cu 2.73-2.94, 6 Ga 2.78-3.05, 2 Hf 3.00
Ga 0.5000 0.2900 0.5801  2 Ga 2.51, 1 Cu 2.68, 4 Hf 2.78
Ga 0.5000 0.7100 0.4199  2 Ga 2.51, 1 Cu 2.68, 4 Hf 2.78
Cu 0.5000 0.4342 0.8685  1 Cu 2.44, 1 Ga 2.68
Cu 0.5000 0.5658 0.1315  1 Cu 2.44, 1 Ga 2.68
Cu 0.0000 0.0000 0.0000  2 Hf 2.73, 10 Cu 2.80-3.00

Output
spin magnetization = 0.00 μB/cell
final energy = -5.563 eV per atom
symmetry = No. 65
energy relative to the lowest polymorph listed for this composition = 0.066 eV/atom
formation energy = -0.689 eV/f.u.


# 2
The following is a PBE-GGA calculation of HfGaCu after structural relaxation, from Alexandria via LeMat-Bulk.

abc: 5.4289 4.9222 7.4933
angles: 90.00 90.00 90.00
Closest atoms and distances in Å follow each position.
Fractional positions:
Ga 0.7500 0.2500 0.4527  2 Cu 2.61, 5 Hf 2.65-2.74
Ga 0.2500 0.7500 0.5473  2 Cu 2.61, 5 Hf 2.65-2.74
Ga 0.2500 0.2500 0.0473  2 Cu 2.61, 5 Hf 2.65-2.74
Ga 0.7500 0.7500 0.9527  2 Cu 2.61, 5 Hf 2.65-2.74
Hf 0.2500 0.2500 0.4005  5 Ga 2.65-2.74, 2 Cu 2.95
Hf 0.7500 0.7500 0.5995  5 Ga 2.65-2.74, 2 Cu 2.95
Hf 0.2500 0.7500 0.9005  5 Ga 2.65-2.74, 2 Cu 2.95
Hf 0.7500 0.2500 0.0995  5 Ga 2.65-2.74, 2 Cu 2.95
Cu 0.5000 0.2500 0.7500  2 Ga 2.61, 2 Cu 2.71
Cu 0.5000 0.7500 0.2500  2 Ga 2.61, 2 Cu 2.71
Cu 0.0000 0.7500 0.2500  2 Ga 2.61, 2 Cu 2.71
Cu 0.0000 0.2500 0.7500  2 Ga 2.61, 2 Cu 2.71

Output
spin magnetization = 0.00 μB/cell
final energy = -5.872 eV per atom
symmetry = No. 63
formation energy = -0.538 eV/f.u.


# 3
The following is a PBE-GGA calculation of HfGaCu after structural relaxation, from Alexandria via LeMat-Bulk.

abc: 4.2144 7.3307 12.6534
angles: 90.00 90.00 90.00
Closest atoms and distances in Å follow each position.
Fractional positions:
Ga 0.0000 0.9146 0.1148  3 Cu 2.44-2.46
Ga 0.5000 0.0854 0.3852  3 Cu 2.44-2.46
Ga 0.0000 0.5855 0.3639  3 Cu 2.44-2.46
Ga 0.0000 0.5855 0.6361  3 Cu 2.44-2.46
Ga 0.5000 0.4145 0.1361  3 Cu 2.44-2.46
Ga 0.0000 0.9146 0.8852  3 Cu 2.44-2.46
Ga 0.5000 0.4145 0.8639  3 Cu 2.44-2.46
Ga 0.5000 0.0854 0.6148  3 Cu 2.44-2.46
Hf 0.5000 0.7292 0.5000  6 Cu 2.87-2.93, 6 Ga 2.92-2.99, 2 Hf 3.18
Hf 0.0000 0.2314 0.7500  6 Cu 2.84-2.97, 6 Ga 2.88-2.97, 2 Hf 3.18
Hf 0.0000 0.2701 0.5000  6 Ga 2.88-2.90, 6 Cu 2.93-2.99, 2 Hf 3.18
Hf 0.5000 0.7299 0.0000  6 Ga 2.88-2.90, 6 Cu 2.93-2.99, 2 Hf 3.18
Hf 0.5000 0.7686 0.7500  6 Cu 2.84-2.97, 6 Ga 2.88-2.97, 2 Hf 3.18
Hf 0.0000 0.2708 0.0000  6 Cu 2.87-2.93, 6 Ga 2.92-2.99, 2 Hf 3.18
Hf 0.5000 0.7686 0.2500  6 Cu 2.84-2.97, 6 Ga 2.88-2.97, 2 Hf 3.18
Hf 0.0000 0.2314 0.2500  6 Cu 2.84-2.97, 6 Ga 2.88-2.97, 2 Hf 3.18
Cu 0.0000 0.5826 0.1445  3 Ga 2.44-2.46
Cu 0.5000 0.4174 0.3555  3 Ga 2.44-2.46
Cu 0.0000 0.9175 0.3915  3 Ga 2.44-2.46
Cu 0.0000 0.9175 0.6085  3 Ga 2.44-2.46
Cu 0.5000 0.0825 0.1085  3 Ga 2.44-2.46
Cu 0.5000 0.0825 0.8915  3 Ga 2.44-2.46
Cu 0.5000 0.4174 0.6445  3 Ga 2.44-2.46
Cu 0.0000 0.5826 0.8555  3 Ga 2.44-2.46

Output
spin magnetization = 0.00 μB/cell
final energy = -6.082 eV per atom
symmetry = No. 59
formation energy = -1.170 eV/f.u.


# 4
The following is a PBE-GGA calculation of Hf2Ga3Cu after structural relaxation, from Alexandria via LeMat-Bulk.

abc: 5.5857 6.2693 6.7476
angles: 103.53 114.45 90.00
Closest atoms and distances in Å follow each position.
Fractional positions:
Ga 0.8730 0.9395 0.7557  2 Cu 2.56-2.58, 2 Ga 2.72-2.76, 2 Hf 2.81
Ga 0.1270 0.0605 0.2443  2 Cu 2.56-2.58, 2 Ga 2.72-2.76, 2 Hf 2.81
Ga 0.1173 0.5605 0.2443  2 Cu 2.56-2.58, 2 Ga 2.72-2.76, 2 Hf 2.81
Ga 0.6933 0.2500 0.0000  1 Cu 2.44, 2 Ga 2.72
Ga 0.3067 0.7500 0.0000  1 Cu 2.44, 2 Ga 2.72
Ga 0.8827 0.4395 0.7557  2 Cu 2.56-2.58, 2 Ga 2.72-2.76, 2 Hf 2.81
Hf 0.3120 0.9088 0.6366  6 Ga 2.81-2.89, 2 Cu 2.98-3.01, 2 Hf 3.14
Hf 0.3246 0.4088 0.6366  6 Ga 2.81-2.89, 2 Cu 2.98-3.01, 2 Hf 3.14
Hf 0.6880 0.0912 0.3634  6 Ga 2.81-2.89, 2 Cu 2.98-3.01, 2 Hf 3.14
Hf 0.6754 0.5912 0.3634  6 Ga 2.81-2.89, 2 Cu 2.98-3.01, 2 Hf 3.14
Cu 0.7440 0.7500 0.0000  5 Ga 2.44-2.58
Cu 0.2560 0.2500 0.0000  5 Ga 2.44-2.58

Output
spin magnetization = 0.00 μB/cell
final energy = -5.744 eV per atom
symmetry = No. 15
energy relative to the lowest polymorph listed for this composition = 0.201 eV/atom
formation energy = -1.380 eV/f.u.


# 5
The following is a PBE-GGA calculation of HfGa3Cu after structural relaxation, from Alexandria via LeMat-Bulk.

abc: 4.5731 4.5731 4.5731
angles: 90.00 90.00 90.00
Closest atoms and distances in Å follow each position.
Fractional positions:
Cu 0.0000 0.0000 0.0000  6 Ga 2.29
Ga 0.0000 0.0000 0.5000  2 Cu 2.29
Ga 0.0000 0.5000 0.0000  2 Cu 2.29
Ga 0.5000 0.0000 0.0000  2 Cu 2.29
Hf 0.5000 0.5000 0.5000  12 Ga 3.23

Output
spin magnetization = 0.00 μB/cell
final energy = -4.315 eV per atom
symmetry = No. 221
energy relative to the lowest polymorph listed for this composition = 0.437 eV/atom
formation energy = 1.556 eV/f.u.


# 6
The following is a PBE-GGA calculation of Hf2Ga6Cu after structural relaxation, from Alexandria via LeMat-Bulk.

abc: 3.1301 6.9631 8.1599
angles: 115.26 93.89 90.00
Closest atoms and distances in Å follow each position.
Fractional positions:
Hf 0.4928 0.2977 0.5954  8 Ga 2.81-3.07, 2 Hf 3.13
Hf 0.5072 0.7023 0.4046  8 Ga 2.81-3.07, 2 Hf 3.13
Ga 0.0150 0.6678 0.7041  1 Cu 2.54, 2 Ga 2.57-2.71, 2 Hf 2.81-2.82
Ga 0.5000 0.6914 0.0000  2 Cu 2.66, 5 Ga 2.67-2.94
Ga 0.9850 0.9637 0.2959  1 Cu 2.54, 2 Ga 2.57-2.71, 2 Hf 2.81-2.82
Ga 0.9850 0.3322 0.2959  1 Cu 2.54, 2 Ga 2.57-2.71, 2 Hf 2.81-2.82
Ga 0.5000 0.3086 0.0000  2 Cu 2.66, 5 Ga 2.67-2.94
Ga 0.0150 0.0363 0.7041  1 Cu 2.54, 2 Ga 2.57-2.71, 2 Hf 2.81-2.82
Cu 0.0000 0.0000 0.0000  8 Ga 2.54-2.66

Output
spin magnetization = 0.00 μB/cell
final energy = -4.865 eV per atom
symmetry = No. 12
formation energy = -1.617 eV/f.u.